(1)
DFT (GGA-PBE) results for a geometry-optimized Co2Mo2Pt structure.

Values from the calculation:
- DOS(E_F): 9.6 states/eV/cell
- Formation enthalpy at 0 K: -5.08 kJ/mol of atoms
- SG: P4/mbm (127)

a b c (Å): 7.016 7.016 2.765
angles (deg): 90.00 90.00 90.00
Last column: magnetic moment on the atom in μB.
Fractional positions:
1 Mo 0.672 0.828 0.500  0.07
2 Mo 0.828 0.328 0.500  0.06
3 Mo 0.328 0.172 0.500  0.07
4 Pt 0.000 0.000 0.000  0.09
5 Pt 0.500 0.500 0.000  0.09
6 Mo 0.172 0.672 0.500  0.06
7 Co 0.624 0.124 0.000  0.41
8 Co 0.376 0.876 0.000  0.41
9 Co 0.876 0.624 0.000  0.41
10 Co 0.124 0.376 0.000  0.41

---

(2)
DFT (GGA-PBE) results for a geometry-optimized Sr3Pd2Pb7 structure.

Values from the calculation:
- DOS(E_F): 6.7 states/eV/cell
- Formation enthalpy at 0 K: -36.83 kJ/mol of atoms
- SG: Cmmm (65)

a b c (Å): 4.760 4.858 15.900
angles (deg): 98.79 90.00 90.00
Fractional positions:
1 Pb 0.500 0.916 0.831
2 Pb 0.000 0.414 0.827
3 Sr 0.500 0.677 0.353
4 Pb 0.000 0.778 0.556
5 Pd 0.000 0.136 0.273
6 Sr 0.500 0.500 0.000
7 Pb 0.500 0.084 0.169
8 Pd 0.000 0.864 0.727
9 Sr 0.500 0.323 0.647
10 Pb 0.000 0.222 0.444
11 Pb 0.000 0.586 0.173
12 Pb 0.000 0.000 0.000